#P
# W2Se3S

Crystalline W2Se3S at its relaxed geometry (PBE, OQMD).

* size of the total moment: 0.00 Bohr magnetons per cell
* symmetry: No. 8

Unit cell a=3.2860 b=3.2860 c=22.7314 alpha=90.00 beta=90.00 gamma=60.00
Closest atoms and distances in Å follow each position.
Element x y z (fractional)
S 0.2569 0.2569 0.0697  3 W 2.43
Se 0.2569 0.2569 0.9277  3 W 2.55
Se 0.7569 0.7569 0.5746  3 W 2.54
W 0.4235 0.4235 0.5000  6 Se 2.54
W 0.9235 0.9235 0.0026  3 S 2.43, 3 Se 2.55
Se 0.7569 0.7569 0.4254  3 W 2.54

=====

#Q
# W2Se3S

Crystalline W2Se3S at its relaxed geometry (PBE, OQMD).

* size of the total moment: 0.00 Bohr magnetons per cell
* symmetry: No. 8

Unit cell a=11.4310 b=11.4310 c=5.6867 alpha=90.01 beta=90.01 gamma=16.53
Closest atoms and distances in Å follow each position.
Element x y z (fractional)
W 0.9987 0.9987 0.0733  1 S 2.42, 5 Se 2.54-2.55
W 0.4987 0.4987 0.5796  2 S 2.43, 4 Se 2.54-2.56
Se 0.0747 0.0747 0.7425  3 W 2.55
Se 0.4236 0.4236 0.2432  3 W 2.55-2.56
S 0.9313 0.9313 0.7430  3 W 2.42-2.43
Se 0.5730 0.5730 0.2437  3 W 2.54

=====

Which structure is most stable, and how do the rest compare? From most to least stable: #Q, #P.

=====

#P
# Zn2SeS

Crystalline Zn2SeS at its relaxed geometry (PBE, OQMD).

* symmetry: No. 115

Unit cell a=3.9475 b=3.9475 c=5.5789 alpha=90.00 beta=90.00 gamma=90.00
Closest atoms and distances in Å follow each position.
Element x y z (fractional)
Zn 0.5000 0.0000 0.7369  2 S 2.38, 2 Se 2.46
Se 0.5000 0.5000 0.0000  4 Zn 2.46
Zn 0.0000 0.5000 0.2631  2 S 2.38, 2 Se 2.46
S 0.0000 0.0000 0.5000  4 Zn 2.38

=====

#Q
# Zn2SeS

Crystalline Zn2SeS at its relaxed geometry (PBE, OQMD).

* symmetry: No. 156

Unit cell a=3.9404 b=3.9404 c=6.4697 alpha=90.00 beta=90.00 gamma=120.00
Closest atoms and distances in Å follow each position.
Element x y z (fractional)
Zn 0.0000 0.0000 0.5121  1 S 2.36, 3 Se 2.45
S 0.0000 0.0000 0.8763  4 Zn 2.36-2.39
Zn 0.6667 0.3333 0.9888  3 S 2.39, 1 Se 2.48
Se 0.6667 0.3333 0.3729  4 Zn 2.45-2.48

=====

Which structure is most stable, and how do the rest compare? From most to least stable: #P, #Q.

=====

#P
# Sr2ZnS

Crystalline Sr2ZnS at its relaxed geometry (PBE, OQMD).

* symmetry: No. 11

Unit cell a=4.3212 b=4.3201 c=12.5675 alpha=90.00 beta=90.29 gamma=90.00
Closest atoms and distances in Å follow each position.
Element x y z (fractional)
Zn 0.7455 0.7500 0.0969  5 Sr 3.12-3.13
Zn 0.2545 0.2500 0.9031  5 Sr 3.12-3.13
Sr 0.2512 0.2500 0.6237  5 S 2.97-3.06
S 0.2487 0.2500 0.3877  6 Sr 2.97-3.06
Sr 0.2466 0.2500 0.1510  1 S 2.97, 5 Zn 3.12-3.13
Sr 0.7534 0.7500 0.8490  1 S 2.97, 5 Zn 3.12-3.13
S 0.7513 0.7500 0.6123  6 Sr 2.97-3.06
Sr 0.7488 0.7500 0.3763  5 S 2.97-3.06

=====

#Q
# Sr2ZnS

Crystalline Sr2ZnS at its relaxed geometry (PBE, OQMD).

* symmetry: No. 26

Unit cell a=4.4318 b=4.4341 c=12.5029 alpha=90.00 beta=90.00 gamma=90.00
Closest atoms and distances in Å follow each position.
Element x y z (fractional)
Zn 0.0000 0.5025 0.1251  6 Sr 3.12-3.14
Sr 0.0000 0.4975 0.8750  2 Zn 3.12-3.13, 4 S 3.13
Sr 0.5000 0.0023 0.1251  2 S 3.12-3.13, 4 Zn 3.13-3.14
Sr 0.5000 0.9977 0.6251  2 S 3.12-3.13, 4 Zn 3.13-3.14
S 0.5000 0.0024 0.3748  6 Sr 3.12-3.13
S 0.5000 0.9976 0.8748  6 Sr 3.12-3.13
Zn 0.0000 0.4975 0.6251  6 Sr 3.12-3.14
Sr 0.0000 0.5025 0.3750  2 Zn 3.12-3.13, 4 S 3.13

=====

#R
# Sr2ZnS

Crystalline Sr2ZnS at its relaxed geometry (PBE, OQMD).

* symmetry: No. 129

Unit cell a=4.2510 b=13.3119 c=4.2514 alpha=90.00 beta=90.00 gamma=90.00
Closest atoms and distances in Å follow each position.
Element x y z (fractional)
Zn 0.5000 0.5721 0.2503  5 Sr 3.11-3.23
Zn 0.0000 0.4279 0.7503  5 Sr 3.11-3.23
Sr 0.0000 0.6618 0.7502  1 S 3.00, 5 Zn 3.11-3.23
S 0.5000 0.1127 0.2498  6 Sr 3.00-3.01
Sr 0.0000 0.1126 0.7498  5 S 3.00-3.01
Sr 0.5000 0.3382 0.2502  1 S 3.00, 5 Zn 3.11-3.23
Sr 0.5000 0.8874 0.2498  5 S 3.00-3.01
S 0.0000 0.8873 0.7498  6 Sr 3.00-3.01

=====

Which structure is most stable, and how do the rest compare? From most to least stable: #R, #P, #Q.